## 1
Entry from Alexandria via LeMat-Bulk: crystalline MgBe3 at its relaxed geometry (GGA-PBEsol).

## Properties
Symmetry = No. 44
Volume = 11.2 A^3/atom

The structure in POSCAR format:
```
MgBe3
1.0
-1.4498 -2.0997 0.2198
0.3388 -0.6836 -4.2950
3.8596 -0.8256 2.6511
Be Mg
3 1
Direct
0.7738 0.7431 0.5476
0.2262 0.1955 0.4524
0.5000 0.8578 0.0000
0.0000 0.3702 0.0000
```



## 2
Entry from Alexandria via LeMat-Bulk: crystalline MgBe3 at its relaxed geometry (GGA-PBEsol).

## Properties
Symmetry = No. 194
Volume = 11.6 A^3/atom

The structure in POSCAR format:
```
MgBe3
1.0
-2.7822 1.0708 2.0802
-3.1163 -3.8598 -2.1810
2.9146 -1.0600 4.4438
Be Mg
6 2
Direct
0.7500 0.1331 0.2663
0.2500 0.8669 0.7337
0.7500 0.1331 0.8669
0.2500 0.8669 0.1331
0.7500 0.7337 0.8669
0.2500 0.2663 0.1331
0.7500 0.6667 0.3333
0.2500 0.3333 0.6667
```



Quick one: least stable of them? 1



## 1
Entry from Alexandria via LeMat-Bulk: crystalline MgBeP2 at its relaxed geometry (GGA-PBEsol).

## Properties
Symmetry = No. 139
Volume = 14.2 A^3/atom

The structure in POSCAR format:
```
MgBeP2
1.0
4.0372 0.0000 0.0000
-2.0186 4.0171 -0.0062
0.0000 2.0341 3.4874
P Mg Be
2 1 1
Direct
0.2500 0.5000 0.2500
0.7500 0.5000 0.7500
0.0000 0.0000 0.0000
0.5000 0.0000 0.5000
```



## 2
Entry from Alexandria via LeMat-Bulk: crystalline MgBeP2 at its relaxed geometry (GGA-PBEsol).

## Properties
Symmetry = No. 12
Volume = 14.5 A^3/atom

The structure in POSCAR format:
```
MgBeP2
1.0
3.4628 0.0352 0.0465
-0.6353 4.1686 -0.0237
-0.6353 -1.1538 4.0058
P Mg Be
2 1 1
Direct
0.0000 0.5000 0.0000
0.0000 0.0000 0.5000
0.5000 0.0000 0.0000
0.5000 0.5000 0.5000
```



Quick one: least stable of them? 1